# 1
RbAlZnCl6 | GGA-PBE | optimized geometry

Computed properties:
Density of states at the Fermi level   0.000 states/eV per atom
Total magnetization   0.0 μB per cell
Crystal system   trigonal

a = 6.324 Å, b = 6.324 Å, c = 14.861 Å
α = 90.00°, β = 90.00°, γ = 120.00°
Fractional coordinates of all 18 atoms:
Rb 0.000 0.000 0.000
Rb 0.000 0.000 0.500
Al 0.333 0.667 0.250
Al 0.667 0.333 0.750
Zn 0.333 0.667 0.750
Zn 0.667 0.333 0.250
Cl 0.016 0.380 0.158
Cl 0.016 0.637 0.342
Cl 0.363 0.380 0.342
Cl 0.363 0.984 0.158
Cl 0.380 0.016 0.658
Cl 0.380 0.363 0.842
Cl 0.620 0.637 0.158
Cl 0.620 0.984 0.342
Cl 0.637 0.016 0.842
Cl 0.637 0.620 0.658
Cl 0.984 0.363 0.658
Cl 0.984 0.620 0.842

---

# 2
RbAl2ZnCl8 | GGA-PBE | optimized geometry

Computed properties:
Density of states at the Fermi level   0.102 states/eV per atom
Total magnetization   1.0 μB per cell
Crystal system   trigonal

a = 10.352 Å, b = 10.352 Å, c = 10.352 Å
α = 37.07°, β = 37.07°, γ = 37.07°
Fractional coordinates of all 12 atoms:
Rb 0.000 0.000 0.000
Al 0.250 0.250 0.250
Al 0.750 0.750 0.750
Zn 0.500 0.500 0.500
Cl 0.079 0.454 0.788
Cl 0.212 0.921 0.546
Cl 0.324 0.324 0.324
Cl 0.454 0.788 0.079
Cl 0.546 0.212 0.921
Cl 0.676 0.676 0.676
Cl 0.788 0.079 0.454
Cl 0.921 0.546 0.212

---

# 3
Rb2ZrAlCl6 | GGA-PBE | optimized geometry

Computed properties:
Density of states at the Fermi level   1.214 states/eV per atom
Total magnetization   1.0 μB per cell
Crystal system   cubic

a = 7.699 Å, b = 7.699 Å, c = 7.699 Å
α = 60.00°, β = 60.00°, γ = 60.00°
Fractional coordinates of all 10 atoms:
Rb 0.250 0.250 0.250
Rb 0.750 0.750 0.750
Zr 0.000 0.000 0.000
Al 0.500 0.500 0.500
Cl 0.235 0.235 0.765
Cl 0.235 0.765 0.235
Cl 0.235 0.765 0.765
Cl 0.765 0.235 0.235
Cl 0.765 0.235 0.765
Cl 0.765 0.765 0.235

---

# 4
AlReCl | GGA-PBE | optimized geometry

Computed properties:
Density of states at the Fermi level   0.727 states/eV per atom
Total magnetization   0.0 μB per cell
Crystal system   hexagonal
Energy above the most stable polymorph in this dataset   10.80 kcal/mol of atoms

a = 4.349 Å, b = 4.349 Å, c = 2.836 Å
α = 90.00°, β = 90.00°, γ = 120.00°
Fractional coordinates of all 3 atoms:
Al 0.000 0.000 0.000
Re 0.333 0.667 0.500
Cl 0.667 0.333 0.500

---

# 5
AlReCl2 | GGA-PBE | optimized geometry

Computed properties:
Density of states at the Fermi level   1.074 states/eV per atom
Total magnetization   0.1 μB per cell
Crystal system   orthorhombic
Energy above the most stable polymorph in this dataset   28.67 kcal/mol of atoms

a = 4.983 Å, b = 4.983 Å, c = 2.901 Å
α = 90.00°, β = 90.00°, γ = 107.38°
Fractional coordinates of all 4 atoms:
Al 0.000 0.000 0.000
Re 0.500 0.500 0.000
Cl 0.000 0.500 0.500
Cl 0.500 0.000 0.500

---

# 6
Al2ReCl | GGA-PBE | optimized geometry

Computed properties:
Density of states at the Fermi level   1.117 states/eV per atom
Total magnetization   0.0 μB per cell
Crystal system   tetragonal
Energy above the most stable polymorph in this dataset   21.98 kcal/mol of atoms

a = 4.384 Å, b = 4.384 Å, c = 4.384 Å
α = 112.57°, β = 112.57°, γ = 103.44°
Fractional coordinates of all 4 atoms:
Al 0.000 0.000 0.000
Al 0.750 0.250 0.500
Re 0.500 0.500 0.000
Cl 0.250 0.750 0.500

---

Number 1: E_form (uncorrected) -1.486 eV per atom. Number 2: E_form (uncorrected) -1.420 eV per atom. Number 3: E_form (uncorrected) -1.504 eV per atom. Number 4: E_form (uncorrected) 0.548 eV per atom. Number 5: E_form (uncorrected) 0.961 eV per atom. Number 6: E_form (uncorrected) 0.655 eV per atom.